Cu2PtRh (meta-GGA SCAN, single point on PBEsol structure); symmetry = R-3m (166); E_tot = -33.6430 eV per atom; energy of formation = -52 meV/atom
1.0
2.659 0.000 0.000
1.329 2.302 0.000
1.329 0.767 8.500
Pt Cu Rh
1 2 1
direct
0.500 0.500 0.500
0.251 0.251 0.246
0.749 0.749 0.754
0.000 0.000 0.000

CuPtRh2 (meta-GGA SCAN, single point on PBEsol structure); symmetry = Cmmm (65); E_tot = -38.2256 eV per atom; energy of formation = 8 meV/atom
1.0
-0.696 2.153 1.416
-2.885 1.303 -3.398
-2.215 -2.719 3.045
Pt Rh Cu
1 2 1
direct
0.500 0.500 0.500
0.000 0.500 0.000
0.000 0.000 0.500
0.500 0.000 0.000

CuPtRh2 (meta-GGA SCAN, single point on PBEsol structure); symmetry = I4/mmm (139); E_tot = -38.2751 eV per atom; energy of formation = -41 meV/atom
1.0
-3.209 -1.984 -0.112
1.627 -2.501 -2.312
1.928 0.237 4.180
Pt Rh Cu
1 2 1
direct
0.000 0.000 0.000
0.750 0.250 0.500
0.250 0.750 0.500
0.500 0.500 0.000

CuPt3Rh (meta-GGA SCAN, single point on PBEsol structure); symmetry = Pm-3m (221); E_tot = -50.3077 eV per atom; energy of formation = 1602 meV/atom
1.0
4.710 0.000 0.000
0.000 4.710 0.000
0.000 0.000 4.710
Cu Pt Rh
1 3 1
direct
0.500 0.500 0.500
0.000 0.000 0.500
0.500 0.000 0.000
0.000 0.500 0.000
0.000 0.000 0.000

CuPtRh2 (meta-GGA SCAN, single point on PBEsol structure); symmetry = P4/mmm (123); E_tot = -38.2492 eV per atom; energy of formation = -15 meV/atom
1.0
-2.181 -2.971 0.670
3.012 -1.980 1.023
-0.467 1.159 3.619
Rh Cu Pt
2 1 1
direct
0.500 0.000 0.000
0.000 0.500 0.000
0.500 0.500 0.500
0.000 0.000 0.500

Cu2PtRh (meta-GGA SCAN, single point on PBEsol structure); symmetry = I-4m2 (119); E_tot = -33.6262 eV per atom; energy of formation = -35 meV/atom
1.0
3.729 0.000 0.000
0.000 3.729 0.000
-1.865 -1.865 3.723
Rh Cu Pt
1 2 1
direct
0.250 0.750 0.500
0.000 0.000 0.000
0.750 0.250 0.500
0.500 0.500 0.000

CuPtRh2 (meta-GGA SCAN, single point on PBEsol structure); symmetry = Pmmm (47); E_tot = -38.1235 eV per atom; energy of formation = 110 meV/atom
1.0
-1.578 -1.766 1.281
-1.704 -1.324 -3.924
3.237 -3.143 -0.345
Cu Pt Rh
1 1 2
direct
0.500 0.000 0.500
0.000 0.500 0.500
0.000 0.000 0.000
0.500 0.500 0.000

CuPtRh (meta-GGA SCAN, single point on PBEsol structure); symmetry = P3m1 (156); E_tot = -39.7394 eV per atom; energy of formation = -18 meV/atom
1.0
2.683 0.000 0.000
-1.342 2.324 0.000
0.000 0.000 6.476
Rh Pt Cu
1 1 1
direct
0.667 0.333 0.323
0.333 0.667 0.674
0.000 0.000 0.003

CuPtRh2 (meta-GGA SCAN, single point on PBEsol structure); symmetry = Pmm2 (25); E_tot = -38.2657 eV per atom; energy of formation = -32 meV/atom
1.0
-0.824 2.463 -0.706
-3.353 -0.687 1.518
1.721 1.913 4.667
Cu Pt Rh
1 1 2
direct
0.000 0.000 0.500
0.500 0.500 0.743
0.500 0.500 0.248
0.000 0.000 0.009

CuPtRh2 (meta-GGA SCAN, single point on PBEsol structure); symmetry = I-4m2 (119); E_tot = -38.3048 eV per atom; energy of formation = -71 meV/atom
1.0
-1.727 -2.614 -2.117
3.337 -1.027 -1.453
-0.379 -0.687 4.535
Cu Rh Pt
1 2 1
direct
0.000 0.000 0.000
0.750 0.250 0.500
0.500 0.500 0.000
0.250 0.750 0.500

Cu2PtRh (meta-GGA SCAN, single point on PBEsol structure); symmetry = P4mm (99); E_tot = -33.6237 eV per atom; energy of formation = -33 meV/atom
1.0
2.689 0.000 0.000
0.000 2.689 0.000
0.000 0.000 7.097
Rh Cu Pt
1 2 1
direct
0.500 0.500 0.763
0.500 0.500 0.235
0.000 0.000 0.011
0.000 0.000 0.492

Cu2PtRh (meta-GGA SCAN, single point on PBEsol structure); symmetry = Pmmm (47); E_tot = -33.5932 eV per atom; energy of formation = -2 meV/atom
1.0
-1.529 -0.434 -2.161
3.556 -0.933 -2.328
-0.390 -4.350 1.148
Cu Rh Pt
2 1 1
direct
0.000 0.000 0.000
0.500 0.000 0.500
0.000 0.500 0.500
0.500 0.500 0.000

CuPtRh2 (meta-GGA SCAN, single point on PBEsol structure); symmetry = P4mm (99); E_tot = -38.2662 eV per atom; energy of formation = -32 meV/atom
1.0
2.694 0.000 0.000
0.000 2.694 0.000
0.000 0.000 7.381
Pt Cu Rh
1 1 2
direct
0.500 0.500 0.744
0.000 0.000 0.496
0.500 0.500 0.252
0.000 0.000 0.008

CuPtRh2 (meta-GGA SCAN, single point on PBEsol structure); symmetry = R3m (160); E_tot = -38.2553 eV per atom; energy of formation = -21 meV/atom
1.0
2.683 0.000 0.000
1.341 2.323 0.000
1.341 0.774 8.643
Rh Cu Pt
2 1 1
direct
0.751 0.751 0.746
0.002 0.002 0.993
0.499 0.499 0.504
0.248 0.248 0.257

CuPtRh2 (meta-GGA SCAN, single point on PBEsol structure); symmetry = C2/m (12); E_tot = -38.2557 eV per atom; energy of formation = -22 meV/atom
1.0
2.684 0.000 0.000
0.000 4.601 -0.005
-1.342 -0.776 4.350
Rh Pt Cu
2 1 1
direct
0.250 0.246 0.499
0.750 0.754 0.501
0.000 0.500 0.000
0.500 0.000 0.000

CuPtRh2 (meta-GGA SCAN, single point on PBEsol structure); symmetry = F-43m (216); E_tot = -38.0733 eV per atom; energy of formation = 161 meV/atom
1.0
4.257 0.000 0.000
2.129 3.687 0.000
2.129 1.229 3.476
Rh Cu Pt
2 1 1
direct
0.000 0.000 0.000
0.750 0.750 0.750
0.500 0.500 0.500
0.250 0.250 0.250

Cu2PtRh (meta-GGA SCAN, single point on PBEsol structure); symmetry = C2/m (12); E_tot = -33.6708 eV per atom; energy of formation = -80 meV/atom
1.0
2.661 0.000 0.000
-1.331 4.293 0.004
0.000 -0.829 4.546
Cu Rh Pt
2 1 1
direct
0.249 0.498 0.245
0.751 0.502 0.755
0.500 0.000 0.000
0.000 0.000 0.500

CuRu2Pt (meta-GGA SCAN, single point on PBEsol structure); symmetry = Cmmm (65); E_tot = -38.5458 eV per atom; energy of formation = 215 meV/atom
1.0
-2.302 -0.611 -1.122
-1.569 -1.666 4.128
-0.899 4.587 -0.655
Ru Cu Pt
2 1 1
direct
0.000 0.000 0.500
0.000 0.500 0.000
0.500 0.000 0.000
0.500 0.500 0.500

CuRu2Pt (meta-GGA SCAN, single point on PBEsol structure); symmetry = Pmmm (47); E_tot = -38.5825 eV per atom; energy of formation = 179 meV/atom
1.0
2.671 0.000 0.000
0.000 3.868 0.000
0.000 0.000 5.171
Ru Cu Pt
2 1 1
direct
0.000 0.000 0.762
0.000 0.000 0.238
0.500 0.500 0.000
0.500 0.500 0.500

CuRu2Pt (meta-GGA SCAN, single point on PBEsol structure); symmetry = R-3m (166); E_tot = -38.5513 eV per atom; energy of formation = 210 meV/atom
1.0
-1.959 -1.765 -0.428
-0.274 -2.109 1.616
-6.016 3.317 5.514
Ru Cu Pt
2 1 1
direct
0.753 0.753 0.742
0.247 0.247 0.258
0.500 0.500 0.500
0.000 0.000 0.000

Cu2RuPt (meta-GGA SCAN, single point on PBEsol structure); symmetry = Pmm2 (25); E_tot = -33.7654 eV per atom; energy of formation = 89 meV/atom
1.0
2.636 0.000 0.030
0.000 3.767 0.000
-0.052 0.000 5.223
Cu Ru Pt
2 1 1
direct
0.500 0.500 0.238
0.000 0.000 0.008
0.500 0.500 0.750
0.000 0.000 0.504

Cu2RuPt (meta-GGA SCAN, single point on PBEsol structure); symmetry = Pmmm (47); E_tot = -33.7197 eV per atom; energy of formation = 135 meV/atom
1.0
2.637 0.000 0.000
0.000 4.409 0.000
0.000 0.000 4.547
Pt Cu Ru
1 2 1
direct
0.500 0.500 0.000
0.500 0.000 0.500
0.000 0.000 0.000
0.000 0.500 0.500

CuRuPt (meta-GGA SCAN, single point on PBEsol structure); symmetry = Fmm2 (42); E_tot = -39.8464 eV per atom; energy of formation = 227 meV/atom
1.0
-0.877 -2.304 0.937
1.606 1.463 1.496
-5.704 3.544 1.461
Ru Pt Cu
1 1 1
direct
0.662 0.662 0.324
0.337 0.337 0.673
0.001 0.001 0.003

CuRu2Pt (meta-GGA SCAN, single point on PBEsol structure); symmetry = P4/mmm (123); E_tot = -38.5326 eV per atom; energy of formation = 229 meV/atom
1.0
2.669 0.000 0.000
0.000 2.669 0.000
0.000 0.000 7.475
Ru Pt Cu
2 1 1
direct
0.000 0.000 0.240
0.000 0.000 0.760
0.500 0.500 0.500
0.500 0.500 0.000

Cu2RuPt (meta-GGA SCAN, single point on PBEsol structure); symmetry = I-4m2 (119); E_tot = -33.7466 eV per atom; energy of formation = 108 meV/atom
1.0
3.723 0.000 0.000
0.000 3.723 0.000
-1.862 -1.862 3.714
Cu Ru Pt
2 1 1
direct
0.750 0.250 0.500
0.000 0.000 0.000
0.250 0.750 0.500
0.500 0.500 0.000

CuRu2Pt (meta-GGA SCAN, single point on PBEsol structure); symmetry = P4mm (99); E_tot = -38.7406 eV per atom; energy of formation = 21 meV/atom
1.0
2.696 0.000 0.000
0.000 2.696 0.000
0.000 0.000 7.342
Ru Pt Cu
2 1 1
direct
0.500 0.500 0.247
0.000 0.000 0.013
0.500 0.500 0.744
0.000 0.000 0.496

Cu2PtS2 (meta-GGA SCAN, single point on PBEsol structure); symmetry = I4/mmm (139); formation energy (no corrections) = 411 meV per atom; E_tot = -23.5583 eV per atom
1.0
-2.947 1.570 0.496
-1.521 -2.986 0.409
3.403 0.957 5.700
S Cu Pt
2 2 1
direct
0.616 0.616 0.232
0.384 0.384 0.768
0.750 0.250 0.500
0.250 0.750 0.500
0.000 0.000 0.000

CuSb2Pt2 (meta-GGA SCAN, single point on PBEsol structure); symmetry = I4/mmm (139); formation energy (no corrections) = 64 meV per atom; E_tot = -45.9573 eV per atom
1.0
3.777 0.000 0.000
0.000 3.777 0.000
-1.889 -1.889 7.088
Pt Sb Cu
2 2 1
direct
0.750 0.250 0.500
0.250 0.750 0.500
0.389 0.389 0.777
0.611 0.611 0.223
0.000 0.000 0.000

CuSbPt2 (meta-GGA SCAN, single point on PBEsol structure); symmetry = I4/mmm (139); formation energy (no corrections) = -164 meV per atom; E_tot = -48.3758 eV per atom
1.0
-1.553 -3.563 -0.857
3.462 -1.123 -1.601
0.232 0.979 4.753
Sb Pt Cu
1 2 1
direct
0.500 0.000 0.000
0.249 0.249 0.499
0.751 0.751 0.501
0.000 0.500 0.000

Cu2SbPt2 (meta-GGA SCAN, single point on PBEsol structure); symmetry = I4/mmm (139); formation energy (no corrections) = -11 meV per atom; E_tot = -41.6197 eV per atom
1.0
3.474 0.000 0.000
0.000 3.474 0.000
-1.737 -1.737 6.612
Cu Pt Sb
2 2 1
direct
0.250 0.750 0.500
0.750 0.250 0.500
0.394 0.394 0.787
0.606 0.606 0.213
0.000 0.000 0.000

Sc2CuPt (meta-GGA SCAN, single point on PBEsol structure); symmetry = Pmm2 (25); E_tot = -29.4205 eV per atom; energy of formation = -954 meV/atom
1.0
3.254 0.000 0.000
0.000 4.563 0.000
0.000 0.000 4.563
Sc Pt Cu
2 1 1
direct
0.000 0.500 0.625
0.000 0.000 0.125
0.500 0.500 0.126
0.500 0.000 0.624